Er2CuPt: optimized geometry, PBE.

Summary:
ΔH_f (0 K) (eV/atom): -0.792
Space group: No. 123
Energy (eV per atom): -5.61

Unit cell a=3.453 b=4.879 c=4.879 alpha=90.00 beta=90.00 gamma=90.00
Atoms (fractional coordinates):
Cu (0.500, 0.500, 0.500)
Pt (0.500, 0.000, 0.000)
Er (0.000, 0.000, 0.500)
Er (0.000, 0.500, 0.000)